Entry 1:
AlRuBr2: optimized geometry, PBE.

Geometry as extended XYZ:
```
4
Lattice="-2.2295 -2.6136 0.5900 1.7653 0.4894 -2.9654 7.2115 -5.3830 3.4047" Properties=species:S:1:pos:R:3 pbc="T T T"
Ru 3.7721 -2.8157 1.7809
Al 4.9928 -4.9622 1.2790
Br 6.6749 -4.9825 3.1514
Br 2.1248 -2.8214 -0.0750
```

Output
Excess energy over the best structure of this formula in the dataset in eV per atom: 0.246

=====

Entry 2:
BaSr2In: optimized geometry, PBE.

Geometry as extended XYZ:
```
4
Lattice="-0.0445 -2.7421 -3.1131 4.0026 -0.8470 0.6886 -2.8270 -7.7661 6.8811" Properties=species:S:1:pos:R:3 pbc="T T T"
Ba 1.2723 -3.7361 0.5080
In -0.1412 -7.6191 3.9485
Sr -2.6377 -7.2461 6.4203
Sr -1.6028 -4.4031 3.9013
```

Output
Formation energy in eV/f.u.: -0.8
Excess energy over the best structure of this formula in the dataset in eV per atom: 0.018